(1)
Compound: CaP2Se
Source: Alexandria
Functional: GGA-PBE
Structure: optimized geometry

The structure in CIF format:
```
data_CaP2Se
_chemical_formula_sum 'Ca1 P2 Se1'
_symmetry_space_group_name_H-M 'P 1'
_symmetry_Int_Tables_number 1
_cell_length_a 3.9168
_cell_length_b 4.5044
_cell_length_c 5.3806
_cell_angle_alpha 73.51
_cell_angle_beta 90.00
_cell_angle_gamma 90.00
loop_
_symmetry_equiv_pos_as_xyz
'x,y,z'
loop_
_atom_site_label
_atom_site_type_symbol
_atom_site_fract_x
_atom_site_fract_y
_atom_site_fract_z
Ca1 Ca 0.5000 0.7500 0.7500
P1 P 0.0000 0.1066 0.9460
P2 P 0.0000 0.3934 0.5540
Se1 Se 0.5000 0.2500 0.2500
```

Calculated values
Formation energy from raw total energies in meV/atom: -480

(2)
Compound: BaMnCl
Source: Alexandria
Functional: GGA-PBE
Structure: optimized geometry

The structure in CIF format:
```
data_BaMnCl
_chemical_formula_sum 'Ba1 Mn1 Cl1'
_symmetry_space_group_name_H-M 'P 1'
_symmetry_Int_Tables_number 1
_cell_length_a 5.4441
_cell_length_b 5.4441
_cell_length_c 5.4441
_cell_angle_alpha 60.00
_cell_angle_beta 60.00
_cell_angle_gamma 60.00
loop_
_symmetry_equiv_pos_as_xyz
'x,y,z'
loop_
_atom_site_label
_atom_site_type_symbol
_atom_site_fract_x
_atom_site_fract_y
_atom_site_fract_z
Ba1 Ba 0.7500 0.7500 0.7500
Cl1 Cl 0.0000 0.0000 0.0000
Mn1 Mn 0.5000 0.5000 0.5000
```

Calculated values
Formation energy from raw total energies in meV/atom: -70
Energy above the lowest structure with this stoichiometry in eV per formula unit: 0.80

(3)
Compound: CeDy4Ga15
Source: Alexandria
Functional: GGA-PBE
Structure: optimized geometry

The structure in CIF format:
```
data_CeDy4Ga15
_chemical_formula_sum 'Ce1 Dy4 Ga15'
_symmetry_space_group_name_H-M 'P 1'
_symmetry_Int_Tables_number 1
_cell_length_a 4.2722
_cell_length_b 4.2722
_cell_length_c 21.5229
_cell_angle_alpha 90.00
_cell_angle_beta 90.00
_cell_angle_gamma 90.00
loop_
_symmetry_equiv_pos_as_xyz
'x,y,z'
loop_
_atom_site_label
_atom_site_type_symbol
_atom_site_fract_x
_atom_site_fract_y
_atom_site_fract_z
Ce1 Ce 0.0000 0.0000 0.0000
Dy1 Dy 0.0000 0.0000 0.2022
Dy2 Dy 0.0000 0.0000 0.4005
Dy3 Dy 0.0000 0.0000 0.5995
Dy4 Dy 0.0000 0.0000 0.7978
Ga1 Ga 0.5000 0.5000 0.0000
Ga2 Ga 0.5000 0.5000 0.2003
Ga3 Ga 0.5000 0.5000 0.4005
Ga4 Ga 0.5000 0.5000 0.5995
Ga5 Ga 0.5000 0.5000 0.7997
Ga6 Ga 0.5000 0.0000 0.1018
Ga7 Ga 0.5000 0.0000 0.3010
Ga8 Ga 0.5000 0.0000 0.5000
Ga9 Ga 0.5000 0.0000 0.6990
Ga10 Ga 0.5000 0.0000 0.8982
Ga11 Ga 0.0000 0.5000 0.1018
Ga12 Ga 0.0000 0.5000 0.3010
Ga13 Ga 0.0000 0.5000 0.5000
Ga14 Ga 0.0000 0.5000 0.6990
Ga15 Ga 0.0000 0.5000 0.8982
```

Calculated values
Calculated formation energy in meV per atom: -535

Number 1: electronic total energy -18.225 eV for the cell shown. Number 2: electronic total energy -13.150 eV for the cell shown. Number 3: electronic total energy -80.452 eV for the cell shown.